1.
Here is LuInAsO after structural relaxation from OQMD. Energies are from PBE-GGA.

extended XYZ file:
```
8
Lattice="5.3297 0.0000 0.0000 0.0000 6.0083 0.0000 0.0000 0.0000 5.8047" Properties=species:S:1:pos:R:3 pbc="T T T"
Lu 0.0000 1.0431 0.0000
Lu 0.0000 4.9652 2.9023
In 2.6649 1.3895 2.3196
In 2.6649 4.6188 5.2219
As 2.6649 1.6699 5.1756
As 2.6649 4.3384 2.2733
O 0.0000 0.7965 2.0234
O 0.0000 5.2117 4.9258
```

Summary:
Size of the total moment, μB per formula unit: 0.0
ΔE to the lowest computed polymorph, kJ per mole of atoms: 6.5
Space group: Pmc2_1
Calculated total energy, eV per atom: -5.620


2.
Here is Dy3Mg3InPd2 after structural relaxation from OQMD. Energies are from PBE-GGA.

extended XYZ file:
```
9
Lattice="7.3757 0.0000 0.0000 -3.6879 6.3876 0.0000 0.0000 0.0000 4.3778" Properties=species:S:1:pos:R:3 pbc="T T T"
Dy -2.1133 3.6603 0.0000
Dy 1.5746 2.7273 0.0000
Dy 4.2266 0.0000 0.0000
Mg -0.9394 1.6271 2.1889
Mg 1.8788 0.0000 2.1889
Mg 2.7485 4.7605 2.1889
In 0.0000 0.0000 0.0000
Pd 0.0000 4.2584 2.1889
Pd 3.6879 2.1292 2.1889
```

Summary:
Size of the total moment, μB per formula unit: 0.0
Space group: P-62m
Calculated total energy, eV per atom: -4.030


3.
Here is YAlCd after structural relaxation from OQMD. Energies are from PBE-GGA.

extended XYZ file:
```
6
Lattice="-2.3465 3.5819 4.0649 2.3465 -3.5819 4.0649 2.3465 3.5819 -4.0649" Properties=species:S:1:pos:R:3 pbc="T T T"
Y 0.0000 0.0000 0.0000
Y 0.0000 3.5819 0.3729
Al 2.3465 1.4934 1.5316
Al 0.0000 2.0886 5.5966
Cd 2.3465 1.9478 -1.1564
Cd 0.0000 1.6341 2.9085
```

Summary:
Size of the total moment, μB per formula unit: 0.2
Space group: Imm2
Calculated total energy, eV per atom: -4.105


4.
Here is NaTl2HgCl6 after structural relaxation from OQMD. Energies are from PBE-GGA.

extended XYZ file:
```
10
Lattice="0.0000 5.2478 5.2478 5.2478 0.0000 5.2478 5.2478 5.2478 0.0000" Properties=species:S:1:pos:R:3 pbc="T T T"
Na 0.0000 0.0000 0.0000
Tl 2.6239 2.6239 2.6239
Tl 7.8716 7.8716 7.8716
Hg 5.2478 5.2478 5.2478
Cl 5.2478 5.2478 2.6615
Cl 5.2478 2.6615 5.2478
Cl 7.8340 5.2478 5.2478
Cl 2.6615 5.2478 5.2478
Cl 5.2478 7.8340 5.2478
Cl 5.2478 5.2478 7.8340
```

Summary:
Space group: Fm-3m
Calculated total energy, eV per atom: -2.569